Ga2TcOsS, optimized geometry, DFT PBE; VASP energy = -5.20 eV per atom; formation energy from raw total energies = 5.757 eV/f.u.; total moment = 3.3 μB per cell
1.0
-2.5591 -2.0210 3.7042
0.3810 -3.8791 -1.8533
4.1971 -0.7719 2.4785
Ga Os S Tc
2 1 1 1
direct
0.0000 0.0000 0.5000
0.5000 0.0000 0.0000
0.5000 0.5000 0.5000
0.0000 0.5000 0.0000
0.0000 0.0000 0.0000